The following is a PBE calculation of an optimized crystal structure of SrZrCr2N, from Alexandria via LeMat-Bulk.

Calculated values
Fermi-level density of states = 5.6 states/eV/cell
total magnetization = 6.53 μB per formula unit
formation energy without anion corrections = 15.91 eV per formula unit

a b c (Å): 4.8455 4.8455 5.4722
angles (deg): 90.00 90.00 90.00
Atoms (fractional coordinates):
Sr 0.0000 0.0000 0.0000
Zr 0.0000 0.0000 0.5000
Cr 0.0000 0.5000 0.0000
Cr 0.5000 0.0000 0.0000
N 0.5000 0.5000 0.5000

The following is a PBE calculation of an optimized crystal structure of ErTaRh4, from Alexandria via LeMat-Bulk.

Calculated values
Fermi-level density of states = 7.2 states/eV/cell
energy of formation = -0.4240 eV/atom
total magnetization = 0.00 μB per formula unit

a b c (Å): 5.2861 5.2861 6.8023
angles (deg): 109.73 109.73 34.88
Atoms (fractional coordinates):
Er 0.0000 0.0000 0.0000
Ta 0.0000 0.0000 0.5000
Rh 0.3329 0.3329 0.1963
Rh 0.3513 0.3513 0.6435
Rh 0.6487 0.6487 0.3565
Rh 0.6671 0.6671 0.8037

The following is a PBE calculation of an optimized crystal structure of PmBe3Si3, from Alexandria via LeMat-Bulk.

Calculated values
Fermi-level density of states = 4.5 states/eV/cell
total magnetization = 0.00 μB per formula unit
formation energy without anion corrections = 1.03 eV per formula unit

a b c (Å): 6.1521 6.1521 6.1521
angles (deg): 90.00 90.00 90.00
Atoms (fractional coordinates):
Pm 0.0000 0.0000 0.0000
Pm 0.5000 0.5000 0.5000
Be 0.0000 0.2500 0.5000
Be 0.0000 0.7500 0.5000
Be 0.2500 0.5000 0.0000
Be 0.5000 0.0000 0.2500
Be 0.5000 0.0000 0.7500
Be 0.7500 0.5000 0.0000
Si 0.0000 0.5000 0.2500
Si 0.0000 0.5000 0.7500
Si 0.2500 0.0000 0.5000
Si 0.5000 0.2500 0.0000
Si 0.5000 0.7500 0.0000
Si 0.7500 0.0000 0.5000

The following is a PBE calculation of an optimized crystal structure of LiSmI4, from Alexandria via LeMat-Bulk.

Calculated values
Fermi-level density of states = 0.0 states/eV/cell
total magnetization = 0.00 μB per formula unit
formation energy without anion corrections = -7.95 eV per formula unit

a b c (Å): 8.8820 8.8820 7.6110
angles (deg): 114.64 114.64 28.85
Atoms (fractional coordinates):
Li 0.0000 0.0000 0.0000
Sm 0.5000 0.5000 0.5000
I 0.1184 0.1184 0.4540
I 0.3942 0.3942 0.0591
I 0.6058 0.6058 0.9409
I 0.8816 0.8816 0.5460

The following is a PBE calculation of an optimized crystal structure of CaGaF2, from Alexandria via LeMat-Bulk.

Calculated values
Fermi-level density of states = 0.9 states/eV/cell
offset from the most stable computed form = 617 meV/atom
total magnetization = 0.00 μB per formula unit
formation energy without anion corrections = -7.94 eV per formula unit

a b c (Å): 7.1299 7.1299 7.1299
angles (deg): 33.26 33.26 33.26
Atoms (fractional coordinates):
Ca 0.0000 0.0000 0.0000
Ga 0.5000 0.5000 0.5000
F 0.1054 0.1054 0.1054
F 0.8946 0.8946 0.8946

The following is a PBE calculation of an optimized crystal structure of Th6Ge2As3Se, from Alexandria via LeMat-Bulk.

Calculated values
Fermi-level density of states = 7.0 states/eV/cell
total magnetization = 0.00 μB per formula unit
formation energy without anion corrections = -14.87 eV per formula unit

a b c (Å): 9.5446 9.5446 8.5268
angles (deg): 102.95 102.95 25.85
Atoms (fractional coordinates):
Th 0.0005 0.0005 0.2562
Th 0.3308 0.3308 0.9140
Th 0.3319 0.3319 0.4180
Th 0.6681 0.6681 0.5820
Th 0.6692 0.6692 0.0860
Th 0.9995 0.9995 0.7438
Ge 0.1652 0.1652 0.3307
Ge 0.8348 0.8348 0.6693
As 0.1655 0.1655 0.8333
As 0.5000 0.5000 0.5000
As 0.8345 0.8345 0.1667
Se 0.5000 0.5000 0.0000

The following is a PBE calculation of an optimized crystal structure of PmNd12Ru7, from Alexandria via LeMat-Bulk.

Calculated values
Fermi-level density of states = 12.5 states/eV/cell
energy of formation = -0.0807 eV/atom
total magnetization = 0.00 μB per formula unit

a b c (Å): 8.8669 8.8669 8.8669
angles (deg): 106.33 106.33 106.33
Atoms (fractional coordinates):
Pm 0.0000 0.0000 0.0000
Nd 0.0817 0.7163 0.2542
Nd 0.1534 0.3817 0.4447
Nd 0.2542 0.0817 0.7163
Nd 0.2837 0.7458 0.9183
Nd 0.3817 0.4447 0.1534
Nd 0.4447 0.1534 0.3817
Nd 0.5553 0.8466 0.6183
Nd 0.6183 0.5553 0.8466
Nd 0.7163 0.2542 0.0817
Nd 0.7458 0.9183 0.2837
Nd 0.8466 0.6183 0.5553
Nd 0.9183 0.2837 0.7458
Ru 0.0417 0.3872 0.1005
Ru 0.1005 0.0417 0.3872
Ru 0.3872 0.1005 0.0417
Ru 0.5000 0.5000 0.5000
Ru 0.6128 0.8995 0.9583
Ru 0.8995 0.9583 0.6128
Ru 0.9583 0.6128 0.8995

The following is a PBE calculation of an optimized crystal structure of Tl2HgCl, from Alexandria via LeMat-Bulk.

Calculated values
Fermi-level density of states = 1.6 states/eV/cell
offset from the most stable computed form = 33 meV/atom
total magnetization = 0.00 μB per formula unit
formation energy without anion corrections = -1.66 eV per formula unit

a b c (Å): 5.5501 5.5501 3.7841
angles (deg): 90.38 90.38 91.07
Atoms (fractional coordinates):
Tl 0.0000 0.5000 0.0000
Tl 0.5000 0.0000 0.0000
Hg 0.0000 0.0000 0.5000
Cl 0.5000 0.5000 0.5000

The following is a PBE calculation of an optimized crystal structure of Ca4InPb2Au, from Alexandria via LeMat-Bulk.

Calculated values
Fermi-level density of states = 1.1 states/eV/cell
energy of formation = -0.5989 eV/atom
total magnetization = 0.00 μB per formula unit

a b c (Å): 9.3948 9.3948 9.3948
angles (deg): 33.68 33.68 33.68
Atoms (fractional coordinates):
Ca 0.1191 0.1191 0.1191
Ca 0.3705 0.3705 0.3705
Ca 0.6295 0.6295 0.6295
Ca 0.8809 0.8809 0.8809
In 0.5000 0.5000 0.5000
Pb 0.2458 0.2458 0.2458
Pb 0.7542 0.7542 0.7542
Au 0.0000 0.0000 0.0000

The following is a PBE calculation of an optimized crystal structure of CeCu6Se8, from Alexandria via LeMat-Bulk.

Calculated values
Fermi-level density of states = 12.8 states/eV/cell
total magnetization = 0.00 μB per formula unit
formation energy without anion corrections = -4.78 eV per formula unit

a b c (Å): 6.7250 6.7250 6.7250
angles (deg): 94.77 94.77 94.77
Atoms (fractional coordinates):
Ce 0.0000 0.0000 0.0000
Cu 0.2333 0.3621 0.6546
Cu 0.3454 0.7667 0.6379
Cu 0.3621 0.6546 0.2333
Cu 0.6379 0.3454 0.7667
Cu 0.6546 0.2333 0.3621
Cu 0.7667 0.6379 0.3454
Se 0.0911 0.8334 0.3896
Se 0.1666 0.6104 0.9089
Se 0.3146 0.3146 0.3146
Se 0.3896 0.0911 0.8334
Se 0.6104 0.9089 0.1666
Se 0.6854 0.6854 0.6854
Se 0.8334 0.3896 0.0911
Se 0.9089 0.1666 0.6104

The following is a PBE calculation of an optimized crystal structure of Cs3K2CdF8, from Alexandria via LeMat-Bulk.

Calculated values
Fermi-level density of states = 13.9 states/eV/cell
total magnetization = 1.15 μB per formula unit
formation energy without anion corrections = -33.34 eV per formula unit

a b c (Å): 6.6110 6.6110 8.9819
angles (deg): 90.00 90.00 120.00
Atoms (fractional coordinates):
Cs 0.0000 0.0000 0.0000
Cs 0.3333 0.6667 0.6174
Cs 0.6667 0.3333 0.3826
K 0.3333 0.6667 0.1903
K 0.6667 0.3333 0.8097
Cd 0.0000 0.0000 0.5000
F 0.1538 0.3076 0.3512
F 0.1538 0.8462 0.3512
F 0.3076 0.1538 0.6488
F 0.3333 0.6667 0.9212
F 0.6667 0.3333 0.0788
F 0.6924 0.8462 0.3512
F 0.8462 0.1538 0.6488
F 0.8462 0.6924 0.6488

The following is a PBE calculation of an optimized crystal structure of CoRe2W, from Alexandria via LeMat-Bulk.

Calculated values
Fermi-level density of states = 3.5 states/eV/cell
energy of formation = 0.0634 eV/atom
offset from the most stable computed form = 19 meV/atom
total magnetization = 0.00 μB per formula unit

a b c (Å): 4.6904 4.6904 4.6904
angles (deg): 131.36 131.36 71.24
Atoms (fractional coordinates):
Co 0.0000 0.0000 0.0000
Re 0.5000 0.5000 0.0000
Re 0.7500 0.2500 0.5000
W 0.2500 0.7500 0.5000

The following is a PBE calculation of an optimized crystal structure of HfTi2Sn, from Alexandria via LeMat-Bulk.

Calculated values
Fermi-level density of states = 4.8 states/eV/cell
energy of formation = -0.2469 eV/atom
total magnetization = 0.00 μB per formula unit

a b c (Å): 4.3562 4.3562 4.0410
angles (deg): 90.00 90.00 90.00
Atoms (fractional coordinates):
Hf 0.0000 0.0000 0.0000
Ti 0.0000 0.5000 0.5000
Ti 0.5000 0.0000 0.5000
Sn 0.5000 0.5000 0.0000

The following is a PBE calculation of an optimized crystal structure of CaMn2Fe, from Alexandria via LeMat-Bulk.

Calculated values
Fermi-level density of states = 3.8 states/eV/cell
energy of formation = 0.7059 eV/atom
offset from the most stable computed form = 362 meV/atom
total magnetization = 9.41 μB per formula unit

a b c (Å): 4.9302 4.9302 2.9214
angles (deg): 90.00 90.00 108.99
Atoms (fractional coordinates):
Ca 0.0000 0.0000 0.0000
Mn 0.0000 0.5000 0.5000
Mn 0.5000 0.0000 0.5000
Fe 0.5000 0.5000 0.0000

The following is a PBE calculation of an optimized crystal structure of AlZn2NiAu, from Alexandria via LeMat-Bulk.

Calculated values
Fermi-level density of states = 3.8 states/eV/cell
energy of formation = 0.6234 eV/atom
total magnetization = 0.60 μB per formula unit

a b c (Å): 4.8214 4.8214 4.7640
angles (deg): 90.00 90.00 90.00
Atoms (fractional coordinates):
Al 0.0000 0.0000 0.0000
Zn 0.0000 0.5000 0.5000
Zn 0.5000 0.0000 0.5000
Ni 0.5000 0.5000 0.0000
Au 0.0000 0.0000 0.5000

The following is a PBE calculation of an optimized crystal structure of SmAsS, from Alexandria via LeMat-Bulk.

Calculated values
Fermi-level density of states = 1.3 states/eV/cell
total magnetization = 0.00 μB per formula unit
formation energy without anion corrections = -4.63 eV per formula unit

a b c (Å): 9.1629 9.1629 9.1629
angles (deg): 155.50 155.50 34.92
Atoms (fractional coordinates):
Sm 0.1460 0.1460 0.0000
Sm 0.8540 0.8540 0.0000
As 0.0000 0.5000 0.5000
As 0.5000 0.0000 0.5000
S 0.3128 0.3128 0.0000
S 0.6872 0.6872 0.0000

The following is a PBE calculation of an optimized crystal structure of NaSnPb14, from Alexandria via LeMat-Bulk.

Calculated values
Fermi-level density of states = 6.2 states/eV/cell
energy of formation = -0.0247 eV/atom
total magnetization = 0.00 μB per formula unit

a b c (Å): 7.0505 7.0505 9.9733
angles (deg): 90.00 90.00 90.36
Atoms (fractional coordinates):
Na 0.0000 0.0000 0.0000
Sn 0.5000 0.5000 0.0000
Pb 0.0000 0.0000 0.5000
Pb 0.0000 0.5000 0.0000
Pb 0.0000 0.5000 0.5000
Pb 0.2533 0.2533 0.2466
Pb 0.2533 0.2533 0.7534
Pb 0.2529 0.7471 0.2472
Pb 0.2529 0.7471 0.7528
Pb 0.5000 0.0000 0.0000
Pb 0.5000 0.0000 0.5000
Pb 0.5000 0.5000 0.5000
Pb 0.7471 0.2529 0.2472
Pb 0.7471 0.2529 0.7528
Pb 0.7467 0.7467 0.2466
Pb 0.7467 0.7467 0.7534

The following is a PBE calculation of an optimized crystal structure of BaAsAu2, from Alexandria via LeMat-Bulk.

Calculated values
Fermi-level density of states = 3.5 states/eV/cell
energy of formation = -0.5059 eV/atom
total magnetization = 0.00 μB per formula unit

a b c (Å): 9.5422 9.5422 9.5422
angles (deg): 147.42 147.42 46.74
Atoms (fractional coordinates):
Ba 0.0000 0.0000 0.0000
Ba 0.7500 0.2500 0.5000
As 0.2500 0.7500 0.5000
As 0.5000 0.5000 0.0000
Au 0.3240 0.6250 0.1990
Au 0.3750 0.5740 0.6990
Au 0.4260 0.1250 0.8010
Au 0.8750 0.6760 0.3010

The following is a PBE calculation of an optimized crystal structure of CoSi3Pb, from Alexandria via LeMat-Bulk.

Calculated values
Fermi-level density of states = 4.9 states/eV/cell
total magnetization = 0.00 μB per formula unit
formation energy without anion corrections = 1.81 eV per formula unit

a b c (Å): 4.5180 4.5180 4.5180
angles (deg): 90.00 90.00 90.00
Atoms (fractional coordinates):
Co 0.0000 0.0000 0.0000
Si 0.0000 0.0000 0.5000
Si 0.0000 0.5000 0.0000
Si 0.5000 0.0000 0.0000
Pb 0.5000 0.5000 0.5000

The following is a PBE calculation of an optimized crystal structure of CsMn2AuCl8, from Alexandria via LeMat-Bulk.

Calculated values
total magnetization = 8.00 μB per formula unit
formation energy without anion corrections = -11.58 eV per formula unit

a b c (Å): 6.6627 6.6627 9.6459
angles (deg): 90.00 90.00 120.00
Atoms (fractional coordinates):
Cs 0.0000 0.0000 0.0000
Mn 0.3333 0.6667 0.7287
Mn 0.6667 0.3333 0.2713
Au 0.0000 0.0000 0.5000
Cl 0.0232 0.3224 0.6621
Cl 0.2993 0.9768 0.6621
Cl 0.3224 0.2993 0.3379
Cl 0.3333 0.6667 0.9605
Cl 0.6667 0.3333 0.0395
Cl 0.6776 0.7007 0.6621
Cl 0.7007 0.0232 0.3379
Cl 0.9768 0.6776 0.3379

The following is a PBE calculation of an optimized crystal structure of Ni3P2Pd4, from Alexandria via LeMat-Bulk.

Calculated values
Fermi-level density of states = 5.7 states/eV/cell
energy of formation = -0.2748 eV/atom
total magnetization = 0.00 μB per formula unit

a b c (Å): 6.7157 6.7157 5.1724
angles (deg): 102.34 102.34 32.17
Atoms (fractional coordinates):
Ni 0.0000 0.0000 0.0000
Ni 0.1229 0.1229 0.6948
Ni 0.8771 0.8771 0.3052
P 0.3896 0.3896 0.0893
P 0.6104 0.6104 0.9107
Pd 0.2230 0.2230 0.2319
Pd 0.4248 0.4248 0.6544
Pd 0.5752 0.5752 0.3456
Pd 0.7770 0.7770 0.7681

The following is a PBE calculation of an optimized crystal structure of TcPt2S, from Alexandria via LeMat-Bulk.

Calculated values
Fermi-level density of states = 4.3 states/eV/cell
offset from the most stable computed form = 0 meV/atom
total magnetization = 0.00 μB per formula unit
formation energy without anion corrections = 2.21 eV per formula unit

a b c (Å): 6.0732 6.0732 6.0732
angles (deg): 119.45 119.45 90.96
Atoms (fractional coordinates):
Tc 0.0000 0.0000 0.0000
Tc 0.7500 0.2500 0.5000
Pt 0.1326 0.6250 0.0076
Pt 0.3750 0.3826 0.5076
Pt 0.6174 0.1250 0.9924
Pt 0.8750 0.8674 0.4924
S 0.2500 0.7500 0.5000
S 0.5000 0.5000 0.0000

The following is a PBE calculation of an optimized crystal structure of HfTi2SnH, from Alexandria via LeMat-Bulk.

Calculated values
Fermi-level density of states = 5.5 states/eV/cell
offset from the most stable computed form = 161 meV/atom
total magnetization = 0.01 μB per formula unit

a b c (Å): 4.0757 4.0757 4.8031
angles (deg): 90.00 90.00 90.00
Atoms (fractional coordinates):
Hf 0.0000 0.0000 0.0000
Ti 0.0000 0.5000 0.5000
Ti 0.5000 0.0000 0.5000
Sn 0.5000 0.5000 0.0000
H 0.5000 0.5000 0.5000

The following is a PBE calculation of an optimized crystal structure of ScMn2Mo, from Alexandria via LeMat-Bulk.

Calculated values
Fermi-level density of states = 5.4 states/eV/cell
energy of formation = 0.2161 eV/atom
total magnetization = 2.85 μB per formula unit

a b c (Å): 2.7762 4.0399 5.4828
angles (deg): 90.00 102.42 90.00
Atoms (fractional coordinates):
Sc 0.0000 0.0000 0.0000
Mn 0.2860 0.5000 0.7216
Mn 0.7140 0.5000 0.2784
Mo 0.5000 0.0000 0.5000

Calculated total energy in order - -4.3778; -8.0608; -4.4526; -3.4635; -4.1773; -7.1714; -6.4255; -2.1343; -3.2787; -4.2110; -3.8555; -11.1754; -7.6834; -6.4949; -2.4464; -6.0426; -3.6021; -3.7876; -5.0551; -4.0689; -5.7120; -6.0924; -6.8218; -8.6593 eV/atom